PuNiO4 | PBE with a Hubbard U | optimized geometry

Lattice parameters (Å, degrees): 4.9972 5.7129 6.1919 119.42 90.00 90.00
Last column: nearest neighbours and their distance in Å.
Sites, in units of the cell vectors:
O1 0.6924 0.6889 0.8487  1 Ni 1.99, 2 Pu 2.11-2.18
O2 0.6886 0.6932 0.3622  1 Pu 1.94, 1 Ni 2.17
O3 0.1924 0.8111 0.6513  1 Ni 1.99, 2 Pu 2.11-2.18
O4 0.1886 0.8068 0.1378  1 Pu 1.94, 1 Ni 2.17
O5 0.8114 0.1932 0.8622  1 Pu 1.94, 1 Ni 2.17
O6 0.3114 0.3068 0.6378  1 Pu 1.94, 1 Ni 2.17
O7 0.3076 0.3111 0.1513  1 Ni 1.99, 2 Pu 2.11-2.18
O8 0.8076 0.1889 0.3487  1 Ni 1.99, 2 Pu 2.11-2.18
Ni1 0.5000 0.5000 0.0000  6 O 1.99-2.18
Ni2 0.0000 0.0000 0.5000  6 O 1.99-2.18
Pu1 0.5000 0.5000 0.5000  4 O 1.94-2.11
Pu2 0.0000 0.0000 0.0000  4 O 1.94-2.11

Calculated values
The calculation puts the raw total energy at -8.1547 eV per atom. Its total moment is 8.000 μB per cell.